one | Density functional theory data (GGA-PBE) for an optimized crystal structure of AcH2Cl.

Cell and atoms, written as POSCAR:
```
AcH2Cl
1.0
4.178 0.000 0.000
0.000 4.178 0.000
0.000 0.000 3.858
Ac H Cl
1 2 1
Direct
0.000 0.000 0.000
0.000 0.500 0.500
0.500 0.000 0.500
0.500 0.500 0.000
```

Computed properties:
- Total magnetization: 0.00 μB/atom



two | Density functional theory data (GGA-PBE) for an optimized crystal structure of AcH2Cl.

Cell and atoms, written as POSCAR:
```
AcH2Cl
1.0
0.000 3.151 3.151
3.151 0.000 3.151
3.151 3.151 0.000
Ac H Cl
1 2 1
Direct
0.000 0.000 0.000
0.250 0.250 0.250
0.750 0.750 0.750
0.500 0.500 0.500
```

Computed properties:
- Total magnetization: 0.00 μB/atom



Least stable: one



one | Density functional theory data (GGA-PBE) for an optimized crystal structure of AcH2Cl.

Cell and atoms, written as POSCAR:
```
AcH2Cl
1.0
4.178 0.000 0.000
0.000 5.784 0.000
0.000 0.000 5.983
Ac H Cl
2 4 2
Direct
0.250 0.250 0.195
0.750 0.750 0.805
0.250 0.539 0.899
0.250 0.961 0.899
0.750 0.039 0.101
0.750 0.461 0.101
0.250 0.750 0.417
0.750 0.250 0.583
```

Computed properties:
- Total magnetization: 0.00 μB/atom



two | Density functional theory data (GGA-PBE) for an optimized crystal structure of AcH2Cl.

Cell and atoms, written as POSCAR:
```
AcH2Cl
1.0
2.064 1.192 4.706
-2.064 1.192 4.706
0.000 -2.384 4.706
Ac H Cl
1 2 1
Direct
0.000 0.000 0.000
0.298 0.298 0.298
0.702 0.702 0.702
0.500 0.500 0.500
```

Computed properties:
- Total magnetization: 0.00 μB/atom



Least stable: two



one | Density functional theory data (GGA-PBE) for an optimized crystal structure of AcI2Cl.

Cell and atoms, written as POSCAR:
```
AcI2Cl
1.0
4.514 0.000 0.000
0.000 10.123 0.000
-2.248 0.000 7.774
Ac I Cl
2 4 2
Direct
0.243 0.250 0.486
0.757 0.750 0.514
0.145 0.560 0.289
0.145 0.940 0.289
0.855 0.060 0.711
0.855 0.440 0.711
0.372 0.750 0.746
0.628 0.250 0.254
```

Computed properties:
- Total magnetization: 0.00 μB/atom



two | Density functional theory data (GGA-PBE) for an optimized crystal structure of AcI2Cl.

Cell and atoms, written as POSCAR:
```
AcI2Cl
1.0
0.000 4.033 4.033
4.033 0.000 4.033
4.033 4.033 0.000
Ac I Cl
1 2 1
Direct
0.000 0.000 0.000
0.250 0.250 0.250
0.750 0.750 0.750
0.500 0.500 0.500
```

Computed properties:
- Total magnetization: 0.00 μB/atom



Least stable: two



one | Density functional theory data (GGA-PBE) for an optimized crystal structure of AcICl2.

Cell and atoms, written as POSCAR:
```
AcICl2
1.0
2.347 -6.085 0.000
2.347 6.085 0.000
0.000 0.000 8.998
Ac I Cl
2 2 4
Direct
0.240 0.760 0.750
0.760 0.240 0.250
0.054 0.946 0.250
0.946 0.054 0.750
0.339 0.661 0.063
0.339 0.661 0.437
0.661 0.339 0.563
0.661 0.339 0.937
```

Computed properties:
- Total magnetization: 0.00 μB/atom



two | Density functional theory data (GGA-PBE) for an optimized crystal structure of AcICl2.

Cell and atoms, written as POSCAR:
```
AcICl2
1.0
2.714 1.567 4.381
-2.714 1.567 4.381
0.000 -3.134 4.381
Ac I Cl
1 1 2
Direct
0.000 0.000 0.000
0.500 0.500 0.500
0.248 0.248 0.248
0.752 0.752 0.752
```

Computed properties:
- Total magnetization: 0.00 μB/atom



Least stable: two



one | Density functional theory data (GGA-PBE) for an optimized crystal structure of Ac2IrCl.

Cell and atoms, written as POSCAR:
```
Ac2IrCl
1.0
2.164 1.249 8.130
-2.164 1.249 8.130
0.000 -2.499 8.130
Ac Ir Cl
2 1 1
Direct
0.000 0.000 0.000
0.201 0.201 0.201
0.601 0.601 0.601
0.429 0.429 0.429
```

Computed properties:
- Total magnetization: 0.00 μB/atom



two | Density functional theory data (GGA-PBE) for an optimized crystal structure of Ac2IrCl.

Cell and atoms, written as POSCAR:
```
Ac2IrCl
1.0
2.173 1.255 7.963
-2.173 1.255 7.963
0.000 -2.509 7.963
Ac Ir Cl
2 1 1
Direct
0.234 0.234 0.234
0.766 0.766 0.766
0.500 0.500 0.500
0.000 0.000 0.000
```

Computed properties:
- Total magnetization: 0.00 μB/atom



Least stable: one



one | Density functional theory data (GGA-PBE) for an optimized crystal structure of AcIrCl.

Cell and atoms, written as POSCAR:
```
AcIrCl
1.0
2.216 -7.666 0.000
2.216 7.666 0.000
0.000 0.000 4.838
Ac Ir Cl
2 2 2
Direct
0.115 0.885 0.750
0.885 0.115 0.250
0.483 0.517 0.750
0.517 0.483 0.250
0.237 0.763 0.250
0.763 0.237 0.750
```

Computed properties:
- Total magnetization: 0.00 μB/atom



two | Density functional theory data (GGA-PBE) for an optimized crystal structure of AcIrCl.

Cell and atoms, written as POSCAR:
```
AcIrCl
1.0
3.837 -2.214 0.000
3.837 2.214 0.000
-2.570 0.000 10.848
Ac Ir Cl
2 2 2
Direct
0.062 0.062 0.186
0.938 0.938 0.814
0.335 0.335 0.004
0.665 0.665 0.996
0.216 0.216 0.652
0.784 0.784 0.348
```

Computed properties:
- Total magnetization: 0.00 μB/atom



Least stable: one